No. 1
Computed, not measured: a geometry-optimized HfFeBi2 structure at the PBE level of DFT.

Crystal system: tetragonal
Energy of formation: 0.721 eV per atom
Total magnetic moment: 0.00 Bohr magnetons per cell
Excess energy over the best structure of this formula in the dataset: 175.4 meV/atom

Cell: 4.415 4.415 19.705 Å, 90.00 90.00 90.00°
Space group I-42d (No. 122)
Inequivalent atoms, fractional coordinates:
Hf 0.000 0.000 0.000 x4
Fe 0.000 0.000 0.500 x4
Bi 0.235 0.250 0.625 x8



No. 2
Computed, not measured: a geometry-optimized Hf4Fe2Bi5 structure at the PBE level of DFT.

Crystal system: monoclinic
Energy of formation: -0.136 eV per atom
Total magnetic moment: 0.81 Bohr magnetons per cell

Cell: 8.693 3.367 11.517 Å, 90.00 106.21 90.00°
Space group P2/m (No. 10)
Inequivalent atoms, fractional coordinates:
Hf 0.006 0.000 0.275 x2
Hf 0.193 0.000 0.038 x2
Fe 0.004 0.500 0.111 x2
Bi 0.000 0.500 0.500 x1
Bi 0.310 0.500 0.845 x2
Bi 0.317 0.500 0.281 x2



No. 3
Computed, not measured: a geometry-optimized HfFeBiI2 structure at the PBE level of DFT.

Crystal system: tetragonal
Total magnetic moment: 1.08 Bohr magnetons per cell
Formation energy (no corrections): 2.99 eV/f.u.

Cell: 5.111 5.111 5.079 Å, 90.00 90.00 90.00°
Space group P4/mmm (No. 123)
Inequivalent atoms, fractional coordinates:
Hf 0.000 0.000 0.000 x1
Fe 0.000 0.000 0.500 x1
Bi 0.500 0.500 0.000 x1
I 0.000 0.500 0.500 x2



No. 4
Computed, not measured: a geometry-optimized HfFeNiBi2 structure at the PBE level of DFT.

Crystal system: tetragonal
Energy of formation: 0.722 eV per atom
Total magnetic moment: 0.00 Bohr magnetons per cell

Cell: 4.951 4.951 4.706 Å, 90.00 90.00 90.00°
Space group P4/mmm (No. 123)
Inequivalent atoms, fractional coordinates:
Hf 0.000 0.000 0.000 x1
Fe 0.000 0.000 0.500 x1
Ni 0.500 0.500 0.000 x1
Bi 0.000 0.500 0.500 x2



total magnetic moment of number 2 (Hf4Fe2Bi5)?
0.81 Bohr magnetons per cell